[1]
Entry from Alexandria via LeMat-Bulk: a relaxed K2AlCuCl6 crystal (PBE).

abc: 6.1341 6.9807 6.9807
angles: 120.00 90.00 90.00
Each line ends with the local moment (μB).
Sites, in units of the cell vectors:
Cl 0.7754 0.1575 0.8425  0.00
Cl 0.7754 0.1575 0.3149  0.00
Cl 0.2246 0.8425 0.6851  0.00
Cl 0.7754 0.6851 0.8425  0.00
Cl 0.2246 0.8425 0.1575  0.00
Cl 0.2246 0.3149 0.1575  0.00
K 0.2054 0.3333 0.6667  0.00
K 0.7946 0.6667 0.3333  0.00
Al 0.0000 0.0000 0.0000  0.00
Cu 0.5000 0.0000 0.0000  0.10

Results
energy relative to the elements, uncorrected	-1452	meV per atom
symmetry	No. 164



[2]
Entry from Alexandria via LeMat-Bulk: a relaxed Mg2AlCuCl crystal (PBE).

abc: 5.3584 4.8338 5.3584
angles: 90.00 90.00 90.00
Sites, in units of the cell vectors:
Cu 0.5000 0.5000 0.5000
Cl 0.0000 0.5000 0.0000
Mg 0.0000 0.0000 0.5000
Mg 0.5000 0.0000 0.0000
Al 0.0000 0.0000 0.0000

Results
energy relative to the elements, uncorrected	396	meV per atom
symmetry	No. 123



[3]
Entry from Alexandria via LeMat-Bulk: a relaxed Na2AlCuCl6 crystal (PBE).

abc: 6.6535 6.6552 7.3579
angles: 63.13 63.13 60.02
Each line ends with the local moment (μB).
Sites, in units of the cell vectors:
Cl 0.1146 0.4440 0.7581  0.00
Cl 0.9899 0.5688 0.2019  0.00
Cl 0.4442 0.6830 0.7583  0.00
Cl 0.5688 0.2391 0.2021  0.00
Cl 0.6831 0.1148 0.7580  0.00
Cl 0.2393 0.9900 0.2018  0.00
Cu 0.7425 0.7424 0.7733  0.07
Na 0.0175 0.0174 0.9474  0.00
Na 0.5323 0.5326 0.4027  0.00
Al 0.3294 0.3295 0.0116  0.00

Results
energy relative to the elements, uncorrected	-1393	meV per atom
symmetry	No. 146



[4]
Entry from Alexandria via LeMat-Bulk: a relaxed AlCu2OsCl crystal (PBE).

abc: 4.5666 4.6341 4.5666
angles: 90.00 90.00 90.00
Each line ends with the local moment (μB).
Sites, in units of the cell vectors:
Cu 0.5000 0.0000 0.0000  -0.02
Cu 0.0000 0.0000 0.5000  -0.01
Cl 0.5000 0.5000 0.5000  0.05
Os 0.0000 0.5000 0.0000  1.21
Al 0.0000 0.0000 0.0000  -0.02

Results
energy relative to the elements, uncorrected	1192	meV per atom
symmetry	No. 123



[5]
Entry from Alexandria via LeMat-Bulk: a relaxed AlCuP2Cl crystal (PBE).

abc: 4.6876 4.6876 4.6582
angles: 90.00 90.00 90.00
Each line ends with the local moment (μB).
Sites, in units of the cell vectors:
Cu 0.5000 0.5000 0.5000  0.07
Cl 0.0000 0.0000 0.5000  0.09
P 0.0000 0.5000 0.0000  0.17
P 0.5000 0.0000 0.0000  0.17
Al 0.0000 0.0000 0.0000  0.00

Results
energy relative to the elements, uncorrected	594	meV per atom
symmetry	No. 123
ΔE to the lowest computed polymorph	0	meV per atom



[6]
Entry from Alexandria via LeMat-Bulk: a relaxed RbAlCu2Cl8 crystal (PBE).

abc: 6.2889 6.2889 9.1108
angles: 90.00 90.00 120.00
Each line ends with the local moment (μB).
Sites, in units of the cell vectors:
Cl 0.7036 0.6915 0.6508  0.07
Cl 0.9879 0.2964 0.6508  0.07
Cl 0.6915 0.9879 0.3492  0.07
Cl 0.0121 0.7036 0.3492  0.07
Cl 0.2964 0.3085 0.3492  0.07
Cl 0.3333 0.6667 0.9461  0.21
Cl 0.3085 0.0121 0.6508  0.07
Cl 0.6667 0.3333 0.0539  0.21
Cu 0.3333 0.6667 0.7043  0.50
Cu 0.6667 0.3333 0.2957  0.50
Rb 0.0000 0.0000 0.0000  0.00
Al 0.0000 0.0000 0.5000  0.00

Results
energy relative to the elements, uncorrected	-1002	meV per atom
symmetry	No. 147



[7]
Entry from Alexandria via LeMat-Bulk: a relaxed RbAl2CuCl8 crystal (PBE).

abc: 6.4423 6.4423 9.3326
angles: 90.00 90.00 120.00
Each line ends with the local moment (μB).
Sites, in units of the cell vectors:
Rb 0.0000 0.0000 0.0000  0.00
Cl 0.0271 0.3323 0.6661  0.00
Cl 0.6948 0.0271 0.3339  0.00
Cl 0.3323 0.3052 0.3339  0.00
Cl 0.3052 0.9729 0.6661  0.00
Cl 0.6667 0.3333 0.0334  0.00
Cl 0.6677 0.6948 0.6661  0.00
Cl 0.9729 0.6677 0.3339  0.00
Cl 0.3333 0.6667 0.9666  0.00
Al 0.3333 0.6667 0.7351  0.00
Al 0.6667 0.3333 0.2649  0.00
Cu 0.0000 0.0000 0.5000  0.10

Results
energy relative to the elements, uncorrected	-1430	meV per atom
symmetry	No. 147



[8]
Entry from Alexandria via LeMat-Bulk: a relaxed Rb2AlCuCl6 crystal (PBE).

abc: 6.1281 7.1147 7.1147
angles: 120.00 90.00 90.00
Each line ends with the local moment (μB).
Sites, in units of the cell vectors:
Rb 0.7664 0.6667 0.3333  0.00
Rb 0.2336 0.3333 0.6667  0.00
Cl 0.2248 0.8450 0.1550  0.00
Cl 0.7752 0.1550 0.3100  0.00
Cl 0.2248 0.8450 0.6900  0.00
Cl 0.7752 0.6900 0.8450  0.00
Cl 0.7752 0.1550 0.8450  0.00
Cl 0.2248 0.3100 0.1550  0.00
Al 0.0000 0.0000 0.0000  0.00
Cu 0.5000 0.0000 0.0000  0.10

Results
energy relative to the elements, uncorrected	-1474	meV per atom
symmetry	No. 164
ΔE to the lowest computed polymorph	0	meV per atom



[9]
Entry from Alexandria via LeMat-Bulk: a relaxed Rb2AlCuCl6 crystal (PBE).

abc: 7.5013 7.5013 7.0954
angles: 58.09 58.09 90.00
Sites, in units of the cell vectors:
Cl 0.7164 0.7164 0.0000
Cl 0.2313 0.2313 0.5375
Cl 0.2836 0.2836 0.0000
Cl 0.7687 0.7687 0.4625
Cl 0.2836 0.7164 0.0000
Cl 0.7164 0.2836 0.0000
Rb 0.2500 0.7500 0.5000
Rb 0.7500 0.2500 0.5000
Cu 0.0000 0.0000 0.0000
Al 0.5000 0.5000 0.0000

Results
energy relative to the elements, uncorrected	-1462	meV per atom
symmetry	No. 139
ΔE to the lowest computed polymorph	12	meV per atom



[10]
Entry from Alexandria via LeMat-Bulk: a relaxed AlCuS2Cl crystal (PBE).

abc: 4.6267 4.6267 4.6776
angles: 90.00 90.00 90.00
Sites, in units of the cell vectors:
Cl 0.0000 0.0000 0.5000
Cu 0.5000 0.5000 0.5000
S 0.0000 0.5000 0.0000
S 0.5000 0.0000 0.0000
Al 0.0000 0.0000 0.0000

Results
energy relative to the elements, uncorrected	19	meV per atom
symmetry	No. 123
ΔE to the lowest computed polymorph	0	meV per atom



[11]
Entry from Alexandria via LeMat-Bulk: a relaxed AlCuSn2Cl crystal (PBE).

abc: 5.4019 4.6544 5.4019
angles: 90.00 90.00 90.00
Sites, in units of the cell vectors:
Al 0.0000 0.0000 0.0000
Sn 0.5000 0.0000 0.0000
Sn 0.0000 0.0000 0.5000
Cu 0.0000 0.5000 0.0000
Cl 0.5000 0.5000 0.5000

Results
energy relative to the elements, uncorrected	294	meV per atom
symmetry	No. 123



[12]
Entry from Alexandria via LeMat-Bulk: a relaxed SrAlCuCl2 crystal (PBE).

abc: 5.1819 4.8208 5.1819
angles: 90.00 90.00 90.00
Sites, in units of the cell vectors:
Cu 0.0000 0.5000 0.0000
Cl 0.5000 0.0000 0.0000
Cl 0.0000 0.0000 0.5000
Al 0.0000 0.0000 0.0000
Sr 0.5000 0.5000 0.5000

Results
energy relative to the elements, uncorrected	-678	meV per atom
symmetry	No. 123



Respective spin magnetization values: 0.1, 0.0, 0.1, 1.3, 0.9, 2.1, 0.1, 0.1, 0.0, 0.0, 0.0, 0.0 μB/f.u..